1.
# CeAg2Au4 (PBE-GGA, optimized geometry)
# E	-27.21	eV per formula unit
data_CeAg2Au4
_chemical_formula_sum 'Ce1 Ag2 Au4'
_cell_length_a 5.7995
_cell_length_b 5.7995
_cell_length_c 5.7995
_cell_angle_alpha 102.69
_cell_angle_beta 102.69
_cell_angle_gamma 124.10
_space_group_name_H-M_alt 'P 1'
_space_group_IT_number 1
loop_
_space_group_symop_operation_xyz
'x,y,z'
loop_
_atom_site_label
_atom_site_type_symbol
_atom_site_fract_x
_atom_site_fract_y
_atom_site_fract_z
_atom_site_occupancy
Ce1 Ce 0.0000 0.0000 0.0000 1
Ag1 Ag 0.2500 0.7500 0.5000 1
Ag2 Ag 0.7500 0.2500 0.5000 1
Au1 Au 0.3037 0.3037 0.6073 1
Au2 Au 0.3037 0.6963 0.0000 1
Au3 Au 0.6963 0.3037 0.0000 1
Au4 Au 0.6963 0.6963 0.3927 1

2.
# PaCrH3 (PBE-GGA, optimized geometry)
# ΔE to the lowest computed polymorph	67	meV per atom
data_PaCrH3
_chemical_formula_sum 'Pa1 Cr1 H3'
_cell_length_a 3.5809
_cell_length_b 3.5809
_cell_length_c 3.5809
_cell_angle_alpha 90.00
_cell_angle_beta 90.00
_cell_angle_gamma 90.00
_space_group_name_H-M_alt 'P 1'
_space_group_IT_number 1
loop_
_space_group_symop_operation_xyz
'x,y,z'
loop_
_atom_site_label
_atom_site_type_symbol
_atom_site_fract_x
_atom_site_fract_y
_atom_site_fract_z
_atom_site_occupancy
Pa1 Pa 0.0000 0.0000 0.0000 1
Cr1 Cr 0.5000 0.5000 0.5000 1
H1 H 0.0000 0.5000 0.5000 1
H2 H 0.5000 0.0000 0.5000 1
H3 H 0.5000 0.5000 0.0000 1

3.
# As2Pb (PBE-GGA, optimized geometry)
# ΔE to the lowest computed polymorph	85	meV per atom
data_As2Pb
_chemical_formula_sum 'As2 Pb1'
_cell_length_a 6.0257
_cell_length_b 6.0257
_cell_length_c 6.0257
_cell_angle_alpha 144.96
_cell_angle_beta 144.96
_cell_angle_gamma 50.40
_space_group_name_H-M_alt 'P 1'
_space_group_IT_number 1
loop_
_space_group_symop_operation_xyz
'x,y,z'
loop_
_atom_site_label
_atom_site_type_symbol
_atom_site_fract_x
_atom_site_fract_y
_atom_site_fract_z
_atom_site_occupancy
As1 As 0.2033 0.2033 0.0000 1
As2 As 0.7967 0.7967 0.0000 1
Pb1 Pb 0.5000 0.5000 0.0000 1

4.
# Tb6CoTe3 (PBE-GGA, optimized geometry)
# ΔE_f (raw)	-0.74	eV/atom
data_Tb6CoTe3
_chemical_formula_sum 'Tb12 Co2 Te6'
_cell_length_a 12.0144
_cell_length_b 3.9299
_cell_length_c 12.6845
_cell_angle_alpha 90.00
_cell_angle_beta 105.16
_cell_angle_gamma 90.00
_space_group_name_H-M_alt 'P 1'
_space_group_IT_number 1
loop_
_space_group_symop_operation_xyz
'x,y,z'
loop_
_atom_site_label
_atom_site_type_symbol
_atom_site_fract_x
_atom_site_fract_y
_atom_site_fract_z
_atom_site_occupancy
Tb1 Tb 0.0139 0.2500 0.3516 1
Tb2 Tb 0.0795 0.2500 0.8930 1
Tb3 Tb 0.2791 0.7500 0.3208 1
Tb4 Tb 0.2854 0.7500 0.7651 1
Tb5 Tb 0.4075 0.2500 0.5632 1
Tb6 Tb 0.4521 0.7500 0.1500 1
Tb7 Tb 0.5479 0.2500 0.8500 1
Tb8 Tb 0.5925 0.7500 0.4368 1
Tb9 Tb 0.7146 0.2500 0.2349 1
Tb10 Tb 0.7209 0.2500 0.6792 1
Tb11 Tb 0.9205 0.7500 0.1070 1
Tb12 Tb 0.9861 0.7500 0.6484 1
Co1 Co 0.4587 0.2500 0.3184 1
Co2 Co 0.5413 0.7500 0.6816 1
Te1 Te 0.1260 0.2500 0.1491 1
Te2 Te 0.1729 0.7500 0.5172 1
Te3 Te 0.3440 0.2500 0.9587 1
Te4 Te 0.6560 0.7500 0.0413 1
Te5 Te 0.8271 0.2500 0.4828 1
Te6 Te 0.8740 0.7500 0.8509 1

5.
# NdZrTiN3 (PBE-GGA, optimized geometry)
# ΔE_f (raw)	-1.28	eV/atom
data_NdZrTiN3
_chemical_formula_sum 'Nd2 Zr2 Ti2 N6'
_cell_length_a 6.9034
_cell_length_b 3.5009
_cell_length_c 8.4465
_cell_angle_alpha 90.00
_cell_angle_beta 105.87
_cell_angle_gamma 90.00
_space_group_name_H-M_alt 'P 1'
_space_group_IT_number 1
loop_
_space_group_symop_operation_xyz
'x,y,z'
loop_
_atom_site_label
_atom_site_type_symbol
_atom_site_fract_x
_atom_site_fract_y
_atom_site_fract_z
_atom_site_occupancy
Nd1 Nd 0.1883 0.2500 0.1551 1
Nd2 Nd 0.8117 0.7500 0.8449 1
Zr1 Zr 0.3444 0.7500 0.8644 1
Zr2 Zr 0.6556 0.2500 0.1356 1
Ti1 Ti 0.0805 0.2500 0.6185 1
Ti2 Ti 0.9195 0.7500 0.3815 1
N1 N 0.1005 0.2500 0.8573 1
N2 N 0.1747 0.7500 0.5732 1
N3 N 0.4376 0.7500 0.1396 1
N4 N 0.5624 0.2500 0.8604 1
N5 N 0.8253 0.2500 0.4268 1
N6 N 0.8995 0.7500 0.1427 1

6.
# MgInHg3 (PBE-GGA, optimized geometry)
# ΔE to the lowest computed polymorph	28	meV per atom
data_MgInHg3
_chemical_formula_sum 'Mg2 In2 Hg6'
_cell_length_a 3.4582
_cell_length_b 8.8974
_cell_length_c 8.3604
_cell_angle_alpha 90.00
_cell_angle_beta 90.00
_cell_angle_gamma 90.00
_space_group_name_H-M_alt 'P 1'
_space_group_IT_number 1
loop_
_space_group_symop_operation_xyz
'x,y,z'
loop_
_atom_site_label
_atom_site_type_symbol
_atom_site_fract_x
_atom_site_fract_y
_atom_site_fract_z
_atom_site_occupancy
Mg1 Mg 0.2500 0.2500 0.0050 1
Mg2 Mg 0.7500 0.7500 0.9950 1
In1 In 0.2500 0.2500 0.4055 1
In2 In 0.7500 0.7500 0.5945 1
Hg1 Hg 0.2500 0.5313 0.8132 1
Hg2 Hg 0.2500 0.7500 0.2957 1
Hg3 Hg 0.2500 0.9687 0.8132 1
Hg4 Hg 0.7500 0.0313 0.1868 1
Hg5 Hg 0.7500 0.2500 0.7043 1
Hg6 Hg 0.7500 0.4687 0.1868 1

7.
# CeNdCdBi (PBE-GGA, optimized geometry)
# E	-17.19	eV per formula unit
data_CeNdCdBi
_chemical_formula_sum 'Ce1 Nd1 Cd1 Bi1'
_cell_length_a 5.5138
_cell_length_b 5.5138
_cell_length_c 5.5138
_cell_angle_alpha 60.00
_cell_angle_beta 60.00
_cell_angle_gamma 60.00
_space_group_name_H-M_alt 'P 1'
_space_group_IT_number 1
loop_
_space_group_symop_operation_xyz
'x,y,z'
loop_
_atom_site_label
_atom_site_type_symbol
_atom_site_fract_x
_atom_site_fract_y
_atom_site_fract_z
_atom_site_occupancy
Ce1 Ce 0.0000 0.0000 0.0000 1
Nd1 Nd 0.5000 0.5000 0.5000 1
Cd1 Cd 0.2500 0.2500 0.2500 1
Bi1 Bi 0.7500 0.7500 0.7500 1

8.
# AgI (PBE-GGA, optimized geometry)
# ΔE_f (raw)	-0.23	eV/atom
data_AgI
_chemical_formula_sum 'Ag2 I2'
_cell_length_a 4.5807
_cell_length_b 4.5807
_cell_length_c 7.5640
_cell_angle_alpha 97.65
_cell_angle_beta 97.65
_cell_angle_gamma 64.39
_space_group_name_H-M_alt 'P 1'
_space_group_IT_number 1
loop_
_space_group_symop_operation_xyz
'x,y,z'
loop_
_atom_site_label
_atom_site_type_symbol
_atom_site_fract_x
_atom_site_fract_y
_atom_site_fract_z
_atom_site_occupancy
Ag1 Ag 0.0000 0.0000 0.0000 1
Ag2 Ag 0.5356 0.5356 0.2310 1
I1 I 0.2153 0.2153 0.3679 1
I2 I 0.6378 0.6378 0.8629 1

9.
# LaTeMo2 (PBE-GGA, optimized geometry)
# ΔE_f (raw)	-0.08	eV/atom
data_LaTeMo2
_chemical_formula_sum 'La1 Te1 Mo2'
_cell_length_a 6.1910
_cell_length_b 6.1910
_cell_length_c 6.1910
_cell_angle_alpha 42.05
_cell_angle_beta 42.05
_cell_angle_gamma 42.05
_space_group_name_H-M_alt 'P 1'
_space_group_IT_number 1
loop_
_space_group_symop_operation_xyz
'x,y,z'
loop_
_atom_site_label
_atom_site_type_symbol
_atom_site_fract_x
_atom_site_fract_y
_atom_site_fract_z
_atom_site_occupancy
La1 La 0.0000 0.0000 0.0000 1
Te1 Te 0.2109 0.2109 0.2109 1
Mo1 Mo 0.4834 0.4834 0.4834 1
Mo2 Mo 0.7881 0.7881 0.7881 1

10.
# MgAg2W (PBE-GGA, optimized geometry)
# E	-17.98	eV per formula unit
data_MgAg2W
_chemical_formula_sum 'Mg1 Ag2 W1'
_cell_length_a 2.8285
_cell_length_b 4.9688
_cell_length_c 5.0073
_cell_angle_alpha 90.00
_cell_angle_beta 90.00
_cell_angle_gamma 90.00
_space_group_name_H-M_alt 'P 1'
_space_group_IT_number 1
loop_
_space_group_symop_operation_xyz
'x,y,z'
loop_
_atom_site_label
_atom_site_type_symbol
_atom_site_fract_x
_atom_site_fract_y
_atom_site_fract_z
_atom_site_occupancy
Mg1 Mg 0.0000 0.0000 0.0000 1
Ag1 Ag 0.0000 0.5000 0.5000 1
Ag2 Ag 0.5000 0.5000 0.0000 1
W1 W 0.5000 0.0000 0.5000 1

11.
# Ce3Mg2Ge3 (PBE-GGA, optimized geometry)
# E	-38.92	eV per formula unit
data_Ce3Mg2Ge3
_chemical_formula_sum 'Ce6 Mg4 Ge6'
_cell_length_a 8.6169
_cell_length_b 8.6169
_cell_length_c 6.1293
_cell_angle_alpha 90.00
_cell_angle_beta 90.00
_cell_angle_gamma 120.00
_space_group_name_H-M_alt 'P 1'
_space_group_IT_number 1
loop_
_space_group_symop_operation_xyz
'x,y,z'
loop_
_atom_site_label
_atom_site_type_symbol
_atom_site_fract_x
_atom_site_fract_y
_atom_site_fract_z
_atom_site_occupancy
Ce1 Ce 0.0000 0.2851 0.2500 1
Ce2 Ce 0.0000 0.7149 0.7500 1
Ce3 Ce 0.2851 0.0000 0.2500 1
Ce4 Ce 0.2851 0.2851 0.7500 1
Ce5 Ce 0.7149 0.0000 0.7500 1
Ce6 Ce 0.7149 0.7149 0.2500 1
Mg1 Mg 0.3333 0.6667 0.0000 1
Mg2 Mg 0.3333 0.6667 0.5000 1
Mg3 Mg 0.6667 0.3333 0.0000 1
Mg4 Mg 0.6667 0.3333 0.5000 1
Ge1 Ge 0.0000 0.3739 0.7500 1
Ge2 Ge 0.0000 0.6261 0.2500 1
Ge3 Ge 0.3739 0.0000 0.7500 1
Ge4 Ge 0.3739 0.3739 0.2500 1
Ge5 Ge 0.6261 0.0000 0.2500 1
Ge6 Ge 0.6261 0.6261 0.7500 1

12.
# Ba6NiAg3 (PBE-GGA, optimized geometry)
# E	-27.09	eV per formula unit
data_Ba6NiAg3
_chemical_formula_sum 'Ba12 Ni2 Ag6'
_cell_length_a 8.0458
_cell_length_b 8.9421
_cell_length_c 14.1899
_cell_angle_alpha 90.00
_cell_angle_beta 122.81
_cell_angle_gamma 90.00
_space_group_name_H-M_alt 'P 1'
_space_group_IT_number 1
loop_
_space_group_symop_operation_xyz
'x,y,z'
loop_
_atom_site_label
_atom_site_type_symbol
_atom_site_fract_x
_atom_site_fract_y
_atom_site_fract_z
_atom_site_occupancy
Ba1 Ba 0.0923 0.0434 0.2411 1
Ba2 Ba 0.0923 0.4566 0.7411 1
Ba3 Ba 0.2300 0.6915 0.0706 1
Ba4 Ba 0.2300 0.8085 0.5706 1
Ba5 Ba 0.3803 0.1695 0.0640 1
Ba6 Ba 0.3803 0.3305 0.5640 1
Ba7 Ba 0.6197 0.6695 0.4360 1
Ba8 Ba 0.6197 0.8305 0.9360 1
Ba9 Ba 0.7700 0.1915 0.4294 1
Ba10 Ba 0.7700 0.3085 0.9294 1
Ba11 Ba 0.9077 0.5434 0.2589 1
Ba12 Ba 0.9077 0.9566 0.7589 1
Ni1 Ni 0.0000 0.0000 0.0000 1
Ni2 Ni 0.0000 0.5000 0.5000 1
Ag1 Ag 0.3078 0.1126 0.7551 1
Ag2 Ag 0.3078 0.3874 0.2551 1
Ag3 Ag 0.5000 0.0000 0.5000 1
Ag4 Ag 0.5000 0.5000 0.0000 1
Ag5 Ag 0.6922 0.6126 0.7449 1
Ag6 Ag 0.6922 0.8874 0.2449 1

13.
# Ac2TbCd2 (PBE-GGA, optimized geometry)
# ΔE to the lowest computed polymorph	0	meV per atom
data_Ac2TbCd2
_chemical_formula_sum 'Ac2 Tb1 Cd2'
_cell_length_a 11.2899
_cell_length_b 11.2899
_cell_length_c 3.8648
_cell_angle_alpha 90.00
_cell_angle_beta 90.00
_cell_angle_gamma 159.94
_space_group_name_H-M_alt 'P 1'
_space_group_IT_number 1
loop_
_space_group_symop_operation_xyz
'x,y,z'
loop_
_atom_site_label
_atom_site_type_symbol
_atom_site_fract_x
_atom_site_fract_y
_atom_site_fract_z
_atom_site_occupancy
Ac1 Ac 0.1739 0.8261 0.0000 1
Ac2 Ac 0.8261 0.1739 0.0000 1
Tb1 Tb 0.0000 0.0000 0.0000 1
Cd1 Cd 0.4241 0.5759 0.5000 1
Cd2 Cd 0.5759 0.4241 0.5000 1

14.
# GaMoN2 (PBE-GGA, optimized geometry)
# ΔE_f (raw)	0.05	eV/atom
data_GaMoN2
_chemical_formula_sum 'Ga2 Mo2 N4'
_cell_length_a 5.4740
_cell_length_b 5.4740
_cell_length_c 5.4740
_cell_angle_alpha 128.03
_cell_angle_beta 128.03
_cell_angle_gamma 76.58
_space_group_name_H-M_alt 'P 1'
_space_group_IT_number 1
loop_
_space_group_symop_operation_xyz
'x,y,z'
loop_
_atom_site_label
_atom_site_type_symbol
_atom_site_fract_x
_atom_site_fract_y
_atom_site_fract_z
_atom_site_occupancy
Ga1 Ga 0.0000 0.0000 0.0000 1
Ga2 Ga 0.7500 0.2500 0.5000 1
Mo1 Mo 0.2500 0.7500 0.5000 1
Mo2 Mo 0.5000 0.5000 0.0000 1
N1 N 0.1123 0.6250 0.9873 1
N2 N 0.3750 0.3623 0.4873 1
N3 N 0.6377 0.1250 0.0127 1
N4 N 0.8750 0.8877 0.5127 1

15.
# InSiAg (PBE-GGA, optimized geometry)
# ΔE_f (raw)	0.17	eV/atom
data_InSiAg
_chemical_formula_sum 'In2 Si2 Ag2'
_cell_length_a 3.8126
_cell_length_b 5.6075
_cell_length_c 6.6057
_cell_angle_alpha 70.35
_cell_angle_beta 73.24
_cell_angle_gamma 89.68
_space_group_name_H-M_alt 'P 1'
_space_group_IT_number 1
loop_
_space_group_symop_operation_xyz
'x,y,z'
loop_
_atom_site_label
_atom_site_type_symbol
_atom_site_fract_x
_atom_site_fract_y
_atom_site_fract_z
_atom_site_occupancy
In1 In 0.1473 0.3666 0.2026 1
In2 In 0.8527 0.6334 0.7974 1
Si1 Si 0.3080 0.0841 0.8821 1
Si2 Si 0.6920 0.9159 0.1179 1
Ag1 Ag 0.5000 0.0000 0.5000 1
Ag2 Ag 0.5000 0.5000 0.5000 1

16.
# Tb12Tm5Pu (PBE-GGA, optimized geometry)
# E	-91.79	eV per formula unit
data_Tb12Tm5Pu
_chemical_formula_sum 'Tb12 Tm5 Pu1'
_cell_length_a 6.1340
_cell_length_b 6.1340
_cell_length_c 17.2677
_cell_angle_alpha 93.39
_cell_angle_beta 93.39
_cell_angle_gamma 120.02
_space_group_name_H-M_alt 'P 1'
_space_group_IT_number 1
loop_
_space_group_symop_operation_xyz
'x,y,z'
loop_
_atom_site_label
_atom_site_type_symbol
_atom_site_fract_x
_atom_site_fract_y
_atom_site_fract_z
_atom_site_occupancy
Tb1 Tb 0.0539 0.3834 0.1642 1
Tb2 Tb 0.1105 0.1105 0.3340 1
Tb3 Tb 0.2233 0.5567 0.6673 1
Tb4 Tb 0.2757 0.2757 0.8357 1
Tb5 Tb 0.3834 0.0539 0.1642 1
Tb6 Tb 0.4433 0.7767 0.3327 1
Tb7 Tb 0.5567 0.2233 0.6673 1
Tb8 Tb 0.6166 0.9461 0.8358 1
Tb9 Tb 0.7243 0.7243 0.1643 1
Tb10 Tb 0.7767 0.4433 0.3327 1
Tb11 Tb 0.8895 0.8895 0.6660 1
Tb12 Tb 0.9461 0.6166 0.8358 1
Tm1 Tm 0.1666 0.8334 0.5000 1
Tm2 Tm 0.3334 0.6666 0.0000 1
Tm3 Tm 0.5000 0.5000 0.5000 1
Tm4 Tm 0.6666 0.3334 0.0000 1
Tm5 Tm 0.8334 0.1666 0.5000 1
Pu1 Pu 0.0000 0.0000 0.0000 1

17.
# HfTaW14 (PBE-GGA, optimized geometry)
# E	-203.77	eV per formula unit
data_HfTaW14
_chemical_formula_sum 'Hf1 Ta1 W14'
_cell_length_a 5.5486
_cell_length_b 5.5486
_cell_length_c 9.0849
_cell_angle_alpha 90.00
_cell_angle_beta 90.00
_cell_angle_gamma 109.59
_space_group_name_H-M_alt 'P 1'
_space_group_IT_number 1
loop_
_space_group_symop_operation_xyz
'x,y,z'
loop_
_atom_site_label
_atom_site_type_symbol
_atom_site_fract_x
_atom_site_fract_y
_atom_site_fract_z
_atom_site_occupancy
Hf1 Hf 0.0000 0.0000 0.0000 1
Ta1 Ta 0.5000 0.5000 0.0000 1
W1 W 0.0000 0.0000 0.5000 1
W2 W 0.0000 0.5000 0.0000 1
W3 W 0.0000 0.5000 0.5000 1
W4 W 0.2500 0.7500 0.2515 1
W5 W 0.2500 0.7500 0.7485 1
W6 W 0.2513 0.2513 0.2565 1
W7 W 0.2513 0.2513 0.7435 1
W8 W 0.5000 0.0000 0.0000 1
W9 W 0.5000 0.0000 0.5000 1
W10 W 0.5000 0.5000 0.5000 1
W11 W 0.7487 0.7487 0.2565 1
W12 W 0.7487 0.7487 0.7435 1
W13 W 0.7500 0.2500 0.2515 1
W14 W 0.7500 0.2500 0.7485 1

18.
# UNbCo (PBE-GGA, optimized geometry)
# ΔE to the lowest computed polymorph	0	meV per atom
data_UNbCo
_chemical_formula_sum 'U1 Nb1 Co1'
_cell_length_a 6.5082
_cell_length_b 6.5082
_cell_length_c 6.5082
_cell_angle_alpha 154.74
_cell_angle_beta 154.74
_cell_angle_gamma 36.03
_space_group_name_H-M_alt 'P 1'
_space_group_IT_number 1
loop_
_space_group_symop_operation_xyz
'x,y,z'
loop_
_atom_site_label
_atom_site_type_symbol
_atom_site_fract_x
_atom_site_fract_y
_atom_site_fract_z
_atom_site_occupancy
U1 U 0.0000 0.0000 0.0000 1
Nb1 Nb 0.7001 0.7001 0.0000 1
Co1 Co 0.3463 0.3463 0.0000 1

19.
# KAc2Tm3O8 (PBE-GGA, optimized geometry)
# ΔE_f (raw)	-3.21	eV/atom
data_KAc2Tm3O8
_chemical_formula_sum 'K1 Ac2 Tm3 O8'
_cell_length_a 7.2298
_cell_length_b 7.2298
_cell_length_c 7.2298
_cell_angle_alpha 57.52
_cell_angle_beta 57.52
_cell_angle_gamma 57.52
_space_group_name_H-M_alt 'P 1'
_space_group_IT_number 1
loop_
_space_group_symop_operation_xyz
'x,y,z'
loop_
_atom_site_label
_atom_site_type_symbol
_atom_site_fract_x
_atom_site_fract_y
_atom_site_fract_z
_atom_site_occupancy
K1 K 0.0000 0.0000 0.0000 1
Ac1 Ac 0.2497 0.2497 0.2497 1
Ac2 Ac 0.6284 0.6284 0.6284 1
Tm1 Tm 0.1154 0.6292 0.6292 1
Tm2 Tm 0.6292 0.1154 0.6292 1
Tm3 Tm 0.6292 0.6292 0.1154 1
O1 O 0.3786 0.3786 0.8338 1
O2 O 0.3786 0.8338 0.3786 1
O3 O 0.3904 0.3904 0.3904 1
O4 O 0.4413 0.8656 0.8656 1
O5 O 0.8338 0.3786 0.3786 1
O6 O 0.8530 0.8530 0.8530 1
O7 O 0.8656 0.4413 0.8656 1
O8 O 0.8656 0.8656 0.4413 1

| no. | volume (Å³ per atom) |
| --- | --- |
| 1 | 20.4 |
| 2 | 9.2 |
| 3 | 23.9 |
| 4 | 28.9 |
| 5 | 16.4 |
| 6 | 25.7 |
| 7 | 29.6 |
| 8 | 35.3 |
| 9 | 24.1 |
| 10 | 17.6 |
| 11 | 24.6 |
| 12 | 42.9 |
| 13 | 33.8 |
| 14 | 12.4 |
| 15 | 21.1 |
| 16 | 31.0 |
| 17 | 16.5 |
| 18 | 16.7 |
| 19 | 18.0 |